## CaLaBr2 (PBE-GGA)

Data for a relaxed CaLaBr2 crystal.

Formation energy without anion corrections = -1.2122 eV/atom
E = -3.781 eV/atom
Crystal system = monoclinic

The structure in POSCAR format:
```
CaLaBr2
1.0
9.496 0.000 0.000
0.000 3.798 0.000
-1.296 0.000 6.560
Ca La Br
2 2 4
Direct
0.000 0.000 0.000
0.500 0.500 0.000
0.000 0.500 0.500
0.500 0.000 0.500
0.242 0.000 0.748
0.258 0.500 0.252
0.742 0.500 0.748
0.758 0.000 0.252
```


## Nd3Ni (PBE-GGA)

Data for a relaxed Nd3Ni crystal.

E = -5.091 eV/atom
Crystal system = orthorhombic
Formation energy from the elements = -0.07 eV/atom

The structure in POSCAR format:
```
Nd3Ni
1.0
3.660 0.000 0.000
0.000 10.617 0.000
0.000 0.000 5.998
Nd Ni
6 2
Direct
0.000 0.000 0.000
0.000 0.192 0.513
0.000 0.808 0.513
0.500 0.308 0.013
0.500 0.500 0.500
0.500 0.692 0.013
0.000 0.500 0.857
0.500 0.000 0.357
```